(1)
DFT (GGA-PBE) results for a relaxed structure of YSb2TeOs.

Lattice parameters (Å, degrees): 5.771 5.771 5.626 90.00 90.00 90.00
Positions (direct):
Y 0.000 0.000 0.000
Sb 0.000 0.500 0.000
Sb 0.500 0.000 0.000
Te 0.000 0.000 0.500
Os 0.500 0.500 0.500

- formation energy from raw total energies (eV per atom) = 1.458
- magnetization (μB/f.u.) = 3.13
- energy relative to the lowest polymorph listed for this composition (eV per atom) = 1.188

(2)
DFT (GGA-PBE) results for a relaxed structure of TlAgPd4.

Lattice parameters (Å, degrees): 5.347 5.347 5.347 60.00 60.00 60.00
Positions (direct):
Tl 0.000 0.000 0.000
Ag 0.250 0.250 0.250
Pd 0.125 0.625 0.625
Pd 0.625 0.125 0.625
Pd 0.625 0.625 0.125
Pd 0.625 0.625 0.625

- energy of formation (meV per atom) = 41
- magnetization (μB/f.u.) = 0.00
- energy relative to the lowest polymorph listed for this composition (eV per atom) = 0.157

(3)
DFT (GGA-PBE) results for a relaxed structure of TmMgPd6.

Lattice parameters (Å, degrees): 4.925 4.925 7.171 105.48 105.48 66.15
Positions (direct):
Tm 0.000 0.000 0.000
Mg 0.500 0.500 0.500
Pd 0.041 0.557 0.204
Pd 0.137 0.137 0.432
Pd 0.443 0.959 0.796
Pd 0.557 0.041 0.204
Pd 0.863 0.863 0.568
Pd 0.959 0.443 0.796

- energy of formation (meV per atom) = -375
- magnetization (μB/f.u.) = 0.00
- energy relative to the lowest polymorph listed for this composition (eV per atom) = 0.309

(4)
DFT (GGA-PBE) results for a relaxed structure of LiCa2Zn3.

Lattice parameters (Å, degrees): 9.143 8.772 5.969 73.93 67.21 38.85
Positions (direct):
Li 0.167 0.167 0.833
Li 0.833 0.833 0.167
Ca 0.248 0.752 0.752
Ca 0.250 0.250 0.250
Ca 0.750 0.750 0.750
Ca 0.752 0.248 0.248
Zn 0.172 0.663 0.337
Zn 0.337 0.337 0.663
Zn 0.337 0.828 0.172
Zn 0.663 0.172 0.828
Zn 0.663 0.663 0.337
Zn 0.828 0.337 0.663

- energy of formation (meV per atom) = -192
- magnetization (μB/f.u.) = 0.00
- energy relative to the lowest polymorph listed for this composition (eV per atom) = 0.000

(5)
DFT (GGA-PBE) results for a relaxed structure of CaCeGa2Pt2.

Lattice parameters (Å, degrees): 4.452 4.452 7.453 90.00 90.00 120.00
Positions (direct):
Ca 0.000 0.000 0.000
Ce 0.000 0.000 0.500
Ga 0.333 0.667 0.749
Ga 0.667 0.333 0.251
Pt 0.333 0.667 0.269
Pt 0.667 0.333 0.731

- energy of formation (meV per atom) = -927
- magnetization (μB/f.u.) = 0.44

(6)
DFT (GGA-PBE) results for a relaxed structure of SrZr3O.

Lattice parameters (Å, degrees): 4.723 4.723 4.723 90.00 90.00 90.00
Positions (direct):
Sr 0.000 0.000 0.000
Zr 0.000 0.500 0.500
Zr 0.500 0.000 0.500
Zr 0.500 0.500 0.000
O 0.500 0.500 0.500

- formation energy from raw total energies (eV per atom) = -0.583
- magnetization (μB/f.u.) = 0.00
- energy relative to the lowest polymorph listed for this composition (eV per atom) = 0.000